[1]
Material: Cs2NaSbI6
Method: DFT, SCAN
State: PBEsol geometry

## Properties
Energy relative to the elements, uncorrected   -11.09 eV per formula unit
Magnetic moment   0.00 μB/f.u.
Electronic total energy   -34.86 eV per atom

Cell lengths 8.547, 8.547, 8.547 Å; angles 60.00, 60.00, 60.00 degrees
Fractional positions:
Cs 0.250 0.250 0.250
Cs 0.750 0.750 0.750
Na 0.000 0.000 0.000
Sb 0.500 0.500 0.500
I 0.254 0.254 0.746
I 0.254 0.746 0.254
I 0.254 0.746 0.746
I 0.746 0.254 0.254
I 0.746 0.254 0.746
I 0.746 0.746 0.254

[2]
Material: Cs3NbI
Method: DFT, SCAN
State: PBEsol geometry

## Properties
Energy relative to the elements, uncorrected   1.84 eV per formula unit
Magnetic moment   5.88 μB/f.u.
Electronic total energy   -36.29 eV per atom

Cell lengths 6.952, 6.952, 6.952 Å; angles 90.00, 90.00, 90.00 degrees
Fractional positions:
Cs 0.000 0.000 0.500
Cs 0.000 0.500 0.000
Cs 0.500 0.000 0.000
Nb 0.000 0.000 0.000
I 0.500 0.500 0.500

[3]
Material: CsNb6I11
Method: DFT, SCAN
State: PBEsol geometry

## Properties
Energy relative to the elements, uncorrected   -11.59 eV per formula unit
Magnetic moment   1.93 μB/f.u.
Electronic total energy   -36.24 eV per atom

Cell lengths 10.893, 10.893, 11.805 Å; angles 90.00, 90.00, 120.00 degrees
Fractional positions:
Cs 0.000 0.000 0.250
Cs 0.000 0.000 0.750
Nb 0.192 0.514 0.349
Nb 0.192 0.678 0.151
Nb 0.322 0.514 0.151
Nb 0.322 0.808 0.349
Nb 0.486 0.678 0.349
Nb 0.486 0.808 0.151
Nb 0.514 0.192 0.651
Nb 0.514 0.322 0.849
Nb 0.678 0.192 0.849
Nb 0.678 0.486 0.651
Nb 0.808 0.322 0.651
Nb 0.808 0.486 0.849
I 0.000 0.278 0.500
I 0.000 0.722 0.000
I 0.019 0.372 0.157
I 0.019 0.647 0.343
I 0.278 0.000 0.500
I 0.278 0.278 0.000
I 0.333 0.667 0.548
I 0.333 0.667 0.952
I 0.353 0.372 0.343
I 0.353 0.981 0.157
I 0.372 0.019 0.843
I 0.372 0.353 0.657
I 0.628 0.647 0.157
I 0.628 0.981 0.343
I 0.647 0.019 0.657
I 0.647 0.628 0.843
I 0.667 0.333 0.048
I 0.667 0.333 0.452
I 0.722 0.000 0.000
I 0.722 0.722 0.500
I 0.981 0.353 0.843
I 0.981 0.628 0.657